(1)
## RbCd3Rh (PBE-GGA)

Data for crystalline RbCd3Rh at its relaxed geometry.

Output
total moment = 0.00 Bohr magnetons per cell
DFT formation energy = 0.15 eV per atom
ΔE to the lowest computed polymorph = 256 meV per atom
E = -2.07 eV per atom
symmetry = No. 38

Lattice parameters (Å, degrees): 3.131 6.538 12.792 90.00 90.00 90.00
Fractional coordinates of all 10 atoms:
1 Rb 0.000 0.000 0.000
2 Rb 0.000 0.500 0.500
3 Cd 0.000 0.000 0.382
4 Cd 0.000 0.500 0.882
5 Cd 0.500 0.231 0.731
6 Cd 0.500 0.269 0.231
7 Cd 0.500 0.731 0.231
8 Cd 0.500 0.769 0.731
9 Rh 0.500 0.000 0.558
10 Rh 0.500 0.500 0.058

---

(2)
## SrSmSn6 (PBE-GGA)

Data for crystalline SrSmSn6 at its relaxed geometry.

Output
total moment = 0.00 Bohr magnetons per cell
DFT formation energy = -0.44 eV per atom
E = -4.24 eV per atom
symmetry = No. 123

Lattice parameters (Å, degrees): 4.782 4.782 9.717 90.00 90.00 90.00
Fractional coordinates of all 8 atoms:
1 Sr 0.000 0.000 0.000
2 Sm 0.000 0.000 0.500
3 Sn 0.000 0.500 0.255
4 Sn 0.000 0.500 0.745
5 Sn 0.500 0.000 0.255
6 Sn 0.500 0.000 0.745
7 Sn 0.500 0.500 0.000
8 Sn 0.500 0.500 0.500

---

(3)
## MgZrBe (PBE-GGA)

Data for crystalline MgZrBe at its relaxed geometry.

Output
total moment = 0.00 Bohr magnetons per cell
DFT formation energy = 0.05 eV per atom
ΔE to the lowest computed polymorph = 0 meV per atom
E = -4.58 eV per atom
symmetry = No. 107

Lattice parameters (Å, degrees): 3.040 3.040 11.515 90.00 90.00 90.00
Fractional coordinates of all 6 atoms:
1 Mg 0.000 0.000 0.000
2 Mg 0.500 0.500 0.500
3 Zr 0.000 0.000 0.283
4 Zr 0.500 0.500 0.783
5 Be 0.000 0.000 0.644
6 Be 0.500 0.500 0.144

---

(4)
## CaPmLuCd (PBE-GGA)

Data for crystalline CaPmLuCd at its relaxed geometry.

Output
total moment = 0.00 Bohr magnetons per cell
DFT formation energy = -0.01 eV per atom
E = -3.05 eV per atom
symmetry = No. 216

Lattice parameters (Å, degrees): 7.845 7.845 7.845 90.00 90.00 90.00
Fractional coordinates of all 16 atoms:
1 Ca 0.000 0.000 0.000
2 Ca 0.000 0.500 0.500
3 Ca 0.500 0.000 0.500
4 Ca 0.500 0.500 0.000
5 Pm 0.000 0.000 0.500
6 Pm 0.000 0.500 0.000
7 Pm 0.500 0.000 0.000
8 Pm 0.500 0.500 0.500
9 Lu 0.250 0.250 0.250
10 Lu 0.250 0.750 0.750
11 Lu 0.750 0.250 0.750
12 Lu 0.750 0.750 0.250
13 Cd 0.250 0.250 0.750
14 Cd 0.250 0.750 0.250
15 Cd 0.750 0.250 0.250
16 Cd 0.750 0.750 0.750

---

(5)
## Hg2IrPt (PBE-GGA)

Data for crystalline Hg2IrPt at its relaxed geometry.

Output
total moment = 0.00 Bohr magnetons per cell
DFT formation energy = 0.34 eV per atom
ΔE to the lowest computed polymorph = 22 meV per atom
E = -3.53 eV per atom
symmetry = No. 123

Lattice parameters (Å, degrees): 4.276 4.276 3.899 90.00 90.00 90.00
Fractional coordinates of all 4 atoms:
1 Hg 0.000 0.500 0.000
2 Hg 0.500 0.000 0.000
3 Ir 0.000 0.000 0.500
4 Pt 0.500 0.500 0.500

---

(6)
## ZnAg6Au2 (PBE-GGA)

Data for crystalline ZnAg6Au2 at its relaxed geometry.

Output
total moment = 0.00 Bohr magnetons per cell
DFT formation energy = -0.01 eV per atom
ΔE to the lowest computed polymorph = 0 meV per atom
E = -2.78 eV per atom
symmetry = No. 12

Lattice parameters (Å, degrees): 8.161 8.161 2.983 94.73 94.73 125.33
Fractional coordinates of all 9 atoms:
1 Zn 0.000 0.000 0.000
2 Ag 0.168 0.506 0.181
3 Ag 0.329 0.329 0.671
4 Ag 0.494 0.832 0.819
5 Ag 0.506 0.168 0.181
6 Ag 0.671 0.671 0.329
7 Ag 0.832 0.494 0.819
8 Au 0.153 0.847 0.500
9 Au 0.847 0.153 0.500

---

(7)
## AsSBr2F (PBE-GGA)

Data for crystalline AsSBr2F at its relaxed geometry.

Output
total moment = 1.30 Bohr magnetons per cell
ΔE to the lowest computed polymorph = 0 meV per atom
E = -2.41 eV per atom
symmetry = No. 123
E_form (uncorrected) = 0.387 eV/atom

Lattice parameters (Å, degrees): 4.933 4.933 5.154 90.00 90.00 90.00
Fractional coordinates of all 5 atoms:
1 As 0.000 0.000 0.000
2 S 0.000 0.000 0.500
3 Br 0.000 0.500 0.500
4 Br 0.500 0.000 0.500
5 F 0.500 0.500 0.000

---

(8)
## Tb8NiRh5 (PBE-GGA)

Data for crystalline Tb8NiRh5 at its relaxed geometry.

Output
total moment = 0.00 Bohr magnetons per cell
DFT formation energy = -0.68 eV per atom
E = -6.37 eV per atom
symmetry = No. 82

Lattice parameters (Å, degrees): 7.458 7.458 7.458 109.57 109.57 109.26
Fractional coordinates of all 14 atoms:
1 Tb 0.251 0.503 0.129
2 Tb 0.375 0.123 0.871
3 Tb 0.377 0.127 0.372
4 Tb 0.497 0.625 0.748
5 Tb 0.755 0.005 0.628
6 Tb 0.873 0.245 0.249
7 Tb 0.877 0.749 0.252
8 Tb 0.995 0.623 0.751
9 Ni 0.250 0.750 0.500
10 Rh 0.000 0.000 0.000
11 Rh 0.128 0.249 0.624
12 Rh 0.497 0.872 0.121
13 Rh 0.625 0.503 0.376
14 Rh 0.751 0.375 0.879

---

- Look up the total moment of the eighth one.
  0.00 Bohr magnetons per cell

---

Please write out number 5 again, unchanged.
## Hg2IrPt (PBE-GGA)

Data for crystalline Hg2IrPt at its relaxed geometry.

Output
total moment = 0.00 Bohr magnetons per cell
DFT formation energy = 0.34 eV per atom
ΔE to the lowest computed polymorph = 22 meV per atom
E = -3.53 eV per atom
symmetry = No. 123

Lattice parameters (Å, degrees): 4.276 4.276 3.899 90.00 90.00 90.00
Fractional coordinates of all 4 atoms:
1 Hg 0.000 0.500 0.000
2 Hg 0.500 0.000 0.000
3 Ir 0.000 0.000 0.500
4 Pt 0.500 0.500 0.500

---

Repeat the eighth record exactly.
## Tb8NiRh5 (PBE-GGA)

Data for crystalline Tb8NiRh5 at its relaxed geometry.

Output
total moment = 0.00 Bohr magnetons per cell
DFT formation energy = -0.68 eV per atom
E = -6.37 eV per atom
symmetry = No. 82

Lattice parameters (Å, degrees): 7.458 7.458 7.458 109.57 109.57 109.26
Fractional coordinates of all 14 atoms:
1 Tb 0.251 0.503 0.129
2 Tb 0.375 0.123 0.871
3 Tb 0.377 0.127 0.372
4 Tb 0.497 0.625 0.748
5 Tb 0.755 0.005 0.628
6 Tb 0.873 0.245 0.249
7 Tb 0.877 0.749 0.252
8 Tb 0.995 0.623 0.751
9 Ni 0.250 0.750 0.500
10 Rh 0.000 0.000 0.000
11 Rh 0.128 0.249 0.624
12 Rh 0.497 0.872 0.121
13 Rh 0.625 0.503 0.376
14 Rh 0.751 0.375 0.879